## CdCo2IrS (GGA-PBE)

Data for CdCo2IrS after structural relaxation.

abc: 4.7105 4.6157 4.7105
angles: 90.00 90.00 90.00
Last column: nearest neighbours and their distance in Å.
Sites, in units of the cell vectors:
S (0.0000, 0.5000, 0.0000)  2 Cd 2.31
Ir (0.5000, 0.5000, 0.5000)  8 Co 3.30, 4 S 3.33
Co (0.0000, 0.0000, 0.5000)  2 Cd 2.36
Co (0.5000, 0.0000, 0.0000)  2 Cd 2.36
Cd (0.0000, 0.0000, 0.0000)  2 S 2.31, 4 Co 2.36

Calculated values
crystal system = tetragonal
space-group type = No. 123
E_form (uncorrected) = 2.05 eV per atom
magnetization = 5.2 μB/cell
calculated total energy = -3.57 eV/atom